VASP calculation (PBE) on TlNiHg2 after structural relaxation.

Volume ... 21.18 Å³/atom
Symmetry ... I-4m2
Formation enthalpy at 0 K ... 372 meV per atom
D(E_F) ... 0.49 states/eV/atom
Total energy ... -1.8158 eV/atom
Excess energy over the best structure of this formula in the dataset ... 231 meV/atom

Cell lengths 5.3297, 5.3297, 5.3297 Å; angles 130.84, 130.84, 72.07 degrees
Last column: nearest neighbours and their distance in Å.
Fractional coordinates of all 4 atoms:
Hg 0.0000 0.0000 0.0000  4 Hg 3.09, 4 Tl 3.09, 4 Ni 3.14
Hg 0.2500 0.7500 0.5000  4 Hg 3.09, 4 Ni 3.09, 4 Tl 3.14
Ni 0.5000 0.5000 0.0000  4 Tl 3.09, 8 Hg 3.09-3.14
Tl 0.7500 0.2500 0.5000  8 Hg 3.09-3.14, 4 Ni 3.09